Crystalline PaMn2SiO8 at its relaxed geometry, computed with PBE+U.

Summary:
For the volume, the calculation gives 262.1 Å³ per cell. The calculated total energy comes out at -192.198 eV/cell.

abc: 6.2772 6.5281 6.3957
angles: 90.00 90.00 90.00
With the nearest neighbours (Å) after each atom.
Space group Cmmm (No. 65)
Asymmetric unit:
Pa: 0.0000 0.0000 0.0000  6 O 2.09-2.22
Mn: 0.0000 0.5000 0.2772  6 O 1.94-2.12
Si: 0.0000 0.0000 0.5000  6 O 1.80-1.87
O: 0.0000 0.2869 0.5000  1 Si 1.87, 2 Mn 1.99
O: 0.0000 0.3206 0.0000  1 Pa 2.09, 2 Mn 2.12, 1 O 2.34
O: 0.1919 0.0000 0.2914  1 Si 1.80, 1 Mn 1.94

=====

Crystalline SmPaMn2O8 at its relaxed geometry, computed with PBE+U.

Summary:
For the volume, the calculation gives 305.7 Å³ per cell. The calculated total energy comes out at -193.124 eV/cell.

abc: 5.1838 5.1838 11.3755
angles: 90.00 90.00 90.00
With the nearest neighbours (Å) after each atom.
Space group I-4 (No. 82)
Asymmetric unit:
Sm: 0.0000 0.0000 0.0000  8 O 2.40-2.48
Pa: 0.0000 0.5000 0.2500  4 O 2.16
Mn: 0.0000 0.0000 0.5000  4 O 1.74
Mn: 0.0000 0.5000 0.7500  4 O 1.94
O: 0.1587 0.2398 0.4214  1 Mn 1.74
O: 0.1764 0.7896 0.8213  1 Mn 1.94, 1 Pa 2.16

=====

Crystalline SmPaMnO6 at its relaxed geometry, computed with PBE+U.

Summary:
For the volume, the calculation gives 121.7 Å³ per cell. The calculated total energy comes out at -75.655 eV/cell.

abc: 5.4077 5.4077 4.8056
angles: 90.00 90.00 120.00
With the nearest neighbours (Å) after each atom.
Space group P312 (No. 149)
Asymmetric unit:
Sm: 0.0000 0.0000 0.0000  6 O 2.31
Pa: 0.6667 0.3333 0.5000  6 O 2.20
Mn: 0.3333 0.6667 0.0000  6 O 1.97
O: 0.0213 0.3820 0.2351  1 Mn 1.97, 1 Pa 2.20

=====

Crystalline PaMnSn2O8 at its relaxed geometry, computed with PBE+U.

Summary:
For the volume, the calculation gives 338.3 Å³ per cell. The calculated total energy comes out at -174.575 eV/cell.

abc: 6.8707 6.8707 7.1665
angles: 90.00 90.00 90.00
With the nearest neighbours (Å) after each atom.
Space group I-4m2 (No. 119)
Asymmetric unit:
Pa: 0.0000 0.0000 0.0000  4 O 2.13
Mn: 0.0000 0.5000 0.7500  4 O 2.08
Sn: 0.0000 0.0000 0.5000  4 O 2.01
Sn: 0.0000 0.5000 0.2500  4 O 1.94
O: 0.0000 0.2006 0.7041  1 Sn 2.01, 1 Mn 2.08
O: 0.0000 0.3043 0.0551  1 Sn 1.94, 1 Pa 2.13